Entry 1:
This record from Alexandria via LeMat-Bulk describes an optimized crystal structure of NaTe2Br2. The functional is PBE.

It has space group P4/mbm (No. 127), with a = 8.240 Å, b = 8.240 Å, c = 5.864 Å, α = 90.00°, β = 90.00° and γ = 90.00°. The distinct sites, in fractional coordinates, are Na at (0.000, 0.000, 0.000), Te at (0.109, 0.391, 0.500) and Br at (0.241, 0.259, 0.000).

The uncorrected formation energy comes out at -37.7 kJ per mole of atoms. The calculation puts the calculated volume at 199.1 Å³/f.u. Its total energy is -2.58 eV/atom. The calculation puts the magnetic moment at 0.17 μB/atom.

***

Entry 2:
This record from Alexandria via LeMat-Bulk describes an optimized crystal structure of Ag3Rh. The functional is PBE.

It has space group P4/mmm (No. 123), with a = 3.244 Å, b = 3.244 Å, c = 6.455 Å, α = 90.00°, β = 90.00° and γ = 90.00°. The distinct sites, in fractional coordinates, are Ag at (0.000, 0.000, 0.000), Ag at (0.500, 0.500, 0.259) and Rh at (0.000, 0.000, 0.500).

As for the calculated formation energy: 0.97 eV/f.u. The calculation puts the calculated volume at 67.9 Å³/f.u. Its total energy is -3.73 eV/atom. The calculation puts the magnetic moment at 0.09 μB/atom.

***

Entry 3:
This record from Alexandria via LeMat-Bulk describes an optimized crystal structure of Dy12Ho5Zr3. The functional is PBE.

It has space group Ia-3d (No. 230), with a = 18.327 Å, b = 18.327 Å, c = 18.327 Å, α = 90.00°, β = 90.00° and γ = 90.00°. The distinct sites, in fractional coordinates, are Dy at (0.009, 0.088, 0.647), Ho at (0.000, 0.000, 0.000), Ho at (0.000, 0.250, 0.375) and Zr at (0.000, 0.250, 0.125).

As for the calculated formation energy: 21.66 eV/f.u. The calculation puts the calculated volume at 769.5 Å³/f.u. Its total energy is -4.10 eV/atom. The calculation puts the magnetic moment at 0.13 μB/atom.

***

Entry 4:
This record from Alexandria via LeMat-Bulk describes an optimized crystal structure of TbZnGe2Rh. The functional is PBE.

It has space group I-4m2 (No. 119), with a = 4.053 Å, b = 4.053 Å, c = 10.910 Å, α = 90.00°, β = 90.00° and γ = 90.00°. The distinct sites, in fractional coordinates, are Tb at (0.000, 0.000, 0.000), Zn at (0.000, 0.500, 0.750), Ge at (0.000, 0.000, 0.387) and Rh at (0.000, 0.500, 0.250).

As for the calculated formation energy: -3.23 eV/f.u. The calculation puts the calculated volume at 89.6 Å³/f.u. Its total energy is -5.15 eV/atom. The calculation puts the magnetic moment at 0.00 μB/atom.

***

calculated volume of number 1 (NaTe2Br2)?
199.1 Å³/f.u.

***

Copy entry 3 word for word.
This record from Alexandria via LeMat-Bulk describes an optimized crystal structure of Dy12Ho5Zr3. The functional is PBE.

It has space group Ia-3d (No. 230), with a = 18.327 Å, b = 18.327 Å, c = 18.327 Å, α = 90.00°, β = 90.00° and γ = 90.00°. The distinct sites, in fractional coordinates, are Dy at (0.009, 0.088, 0.647), Ho at (0.000, 0.000, 0.000), Ho at (0.000, 0.250, 0.375) and Zr at (0.000, 0.250, 0.125).

As for the calculated formation energy: 21.66 eV/f.u. The calculation puts the calculated volume at 769.5 Å³/f.u. Its total energy is -4.10 eV/atom. The calculation puts the magnetic moment at 0.13 μB/atom.

***

Look up the total energy of the first one.
-2.58 eV/atom

***

Among the records above, which one has the lowest magnetic moment?
TbZnGe2Rh